# 1
Density functional theory data (PBE) for a relaxed structure of LiCd2PdAu.

abc: 5.1977 5.1977 5.2119
angles: 90.00 90.00 90.00
Last column: nearest neighbours and their distance in Å.
Element x y z (fractional)
1 Li 0.0000 0.0000 0.0000  4 Pd 3.68, 8 Cd 3.68
2 Cd 0.0000 0.5000 0.5000  2 Au 2.60
3 Cd 0.5000 0.0000 0.5000  2 Au 2.60
4 Pd 0.5000 0.5000 0.0000  2 Au 2.61
5 Au 0.5000 0.5000 0.5000  4 Cd 2.60, 2 Pd 2.61

Values from the calculation:
Total magnetization: 0.00 μB/cell
Excess energy over the best structure of this formula in the dataset: 0.5559 eV/atom
Energy relative to the elements: 1.2 eV/f.u.
Symmetry: No. 123
Raw total energy: -11.02 eV per cell

# 2
Density functional theory data (PBE) for a relaxed structure of La2Ce3Ga4.

abc: 8.1246 8.1432 7.7544
angles: 90.00 107.18 90.00
Last column: nearest neighbours and their distance in Å.
Element x y z (fractional)
1 La 0.1906 0.1768 0.0690  6 Ga 3.24-3.46
2 La 0.1906 0.3232 0.5690  6 Ga 3.24-3.46
3 La 0.8094 0.6768 0.4310  6 Ga 3.24-3.46
4 La 0.8094 0.8232 0.9310  6 Ga 3.24-3.46
5 Ce 0.2440 0.6765 0.2484  6 Ga 2.99-3.12
6 Ce 0.2440 0.8235 0.7484  6 Ga 2.99-3.12
7 Ce 0.5000 0.0000 0.5000  6 Ga 3.10-3.28
8 Ce 0.5000 0.5000 0.0000  6 Ga 3.10-3.28
9 Ce 0.7560 0.1765 0.2516  6 Ga 2.99-3.12
10 Ce 0.7560 0.3235 0.7516  6 Ga 2.99-3.12
11 Ga 0.0785 0.5351 0.8692  1 Ga 2.76, 3 Ce 2.99-3.07
12 Ga 0.0785 0.9649 0.3692  1 Ga 2.76, 3 Ce 2.99-3.07
13 Ga 0.4938 0.1193 0.8779  1 Ga 2.69
14 Ga 0.4938 0.3807 0.3779  1 Ga 2.69
15 Ga 0.5062 0.6193 0.6221  1 Ga 2.69
16 Ga 0.5062 0.8807 0.1221  1 Ga 2.69
17 Ga 0.9215 0.0351 0.6308  1 Ga 2.76, 3 Ce 2.99-3.07
18 Ga 0.9215 0.4649 0.1308  1 Ga 2.76, 3 Ce 2.99-3.07

Values from the calculation:
Total magnetization: 4.33 μB/cell
Energy relative to the elements: -4.1 eV/f.u.
Symmetry: No. 14
Raw total energy: -87.80 eV per cell

# 3
Density functional theory data (PBE) for a relaxed structure of LiAl2Pt.

abc: 4.3028 4.3028 4.3028
angles: 60.00 60.00 60.00
Last column: nearest neighbours and their distance in Å.
Element x y z (fractional)
1 Li 0.0000 0.0000 0.0000  8 Al 2.63
2 Al 0.2500 0.2500 0.2500  4 Pt 2.63, 4 Li 2.63
3 Al 0.7500 0.7500 0.7500  4 Pt 2.63, 4 Li 2.63
4 Pt 0.5000 0.5000 0.5000  8 Al 2.63

Values from the calculation:
Total magnetization: 0.00 μB/cell
Energy relative to the elements: -3.3 eV/f.u.
Symmetry: No. 225
Raw total energy: -18.77 eV per cell

# 4
Density functional theory data (PBE) for a relaxed structure of RuCO3.

abc: 3.7803 3.7803 3.7803
angles: 90.00 90.00 90.00
Last column: nearest neighbours and their distance in Å.
Element x y z (fractional)
1 Ru 0.0000 0.0000 0.0000  6 O 1.89
2 C 0.5000 0.5000 0.5000  12 O 2.67
3 O 0.0000 0.0000 0.5000  2 Ru 1.89
4 O 0.0000 0.5000 0.0000  2 Ru 1.89
5 O 0.5000 0.0000 0.0000  2 Ru 1.89

Values from the calculation:
Total magnetization: 1.80 μB/cell
Formation energy without anion corrections: 0.90 eV/atom
Symmetry: No. 221
Raw total energy: -28.86 eV per cell

# 5
Density functional theory data (PBE) for a relaxed structure of CaBPd3.

abc: 7.5149 5.5622 9.9239
angles: 90.00 128.30 90.00
Last column: nearest neighbours and their distance in Å.
Element x y z (fractional)
1 Ca 0.1850 0.2224 0.0789  9 Pd 2.86-3.12, 2 B 3.01-3.11
2 Ca 0.1850 0.2776 0.5789  9 Pd 2.86-3.12, 2 B 3.01-3.11
3 Ca 0.8150 0.7224 0.4211  9 Pd 2.86-3.12, 2 B 3.01-3.11
4 Ca 0.8150 0.7776 0.9211  9 Pd 2.86-3.12, 2 B 3.01-3.11
5 B 0.2392 0.5645 0.3371  5 Pd 2.12-2.17
6 B 0.2392 0.9355 0.8371  5 Pd 2.12-2.17
7 B 0.7608 0.0645 0.1629  5 Pd 2.12-2.17
8 B 0.7608 0.4355 0.6629  5 Pd 2.12-2.17
9 Pd 0.0871 0.5930 0.8045  2 B 2.12-2.14
10 Pd 0.0871 0.9070 0.3045  2 B 2.12-2.14
11 Pd 0.3160 0.7118 0.1799  1 B 2.13
12 Pd 0.3160 0.7882 0.6799  1 B 2.13
13 Pd 0.4493 0.2431 0.9576  2 B 2.12-2.17
14 Pd 0.4493 0.2569 0.4576  2 B 2.12-2.17
15 Pd 0.5507 0.7431 0.5424  2 B 2.12-2.17
16 Pd 0.5507 0.7569 0.0424  2 B 2.12-2.17
17 Pd 0.6840 0.2118 0.3201  1 B 2.13
18 Pd 0.6840 0.2882 0.8201  1 B 2.13
19 Pd 0.9129 0.0930 0.6955  2 B 2.12-2.14
20 Pd 0.9129 0.4070 0.1955  2 B 2.12-2.14

Values from the calculation:
Total magnetization: 0.00 μB/cell
Energy relative to the elements: -2.2 eV/f.u.
Symmetry: No. 14
Raw total energy: -105.97 eV per cell

# 6
Density functional theory data (PBE) for a relaxed structure of NdGa2Pd4.

abc: 7.8902 7.8902 4.0037
angles: 90.00 90.00 90.00
Last column: nearest neighbours and their distance in Å.
Element x y z (fractional)
1 Nd 0.0000 0.0000 0.0000  6 Ga 3.11-3.18, 8 Pd 3.37
2 Nd 0.5000 0.5000 0.5000  6 Ga 3.11-3.18, 8 Pd 3.37
3 Ga 0.2215 0.2215 0.5000  6 Pd 2.55-2.57
4 Ga 0.2785 0.7215 0.0000  6 Pd 2.55-2.57
5 Ga 0.7215 0.2785 0.0000  6 Pd 2.55-2.57
6 Ga 0.7785 0.7785 0.5000  6 Pd 2.55-2.57
7 Pd 0.0819 0.6668 0.5000  3 Ga 2.55-2.57, 1 Pd 2.80
8 Pd 0.1668 0.4181 0.0000  3 Ga 2.55-2.57, 1 Pd 2.80
9 Pd 0.3332 0.9181 0.5000  3 Ga 2.55-2.57, 1 Pd 2.80
10 Pd 0.4181 0.1668 0.0000  3 Ga 2.55-2.57, 1 Pd 2.80
11 Pd 0.5819 0.8332 0.0000  3 Ga 2.55-2.57, 1 Pd 2.80
12 Pd 0.6668 0.0819 0.5000  3 Ga 2.55-2.57, 1 Pd 2.80
13 Pd 0.8332 0.5819 0.0000  3 Ga 2.55-2.57, 1 Pd 2.80
14 Pd 0.9181 0.3332 0.5000  3 Ga 2.55-2.57, 1 Pd 2.80

Values from the calculation:
Total magnetization: 0.00 μB/cell
Energy relative to the elements: -5.2 eV/f.u.
Symmetry: No. 136
Raw total energy: -73.53 eV per cell

# 7
Density functional theory data (PBE) for a relaxed structure of LaNi4Ge2.

abc: 8.0596 8.0596 8.0596
angles: 29.17 29.17 29.17
Last column: nearest neighbours and their distance in Å.
Element x y z (fractional)
1 La 0.0000 0.0000 0.0000  6 Ge 3.11, 8 Ni 3.31-3.47
2 Ni 0.1430 0.1430 0.1430  1 Ge 2.36, 6 Ni 2.46-2.59
3 Ni 0.4442 0.4442 0.4442  3 Ge 2.40, 4 Ni 2.46-2.58
4 Ni 0.5558 0.5558 0.5558  3 Ge 2.40, 4 Ni 2.46-2.58
5 Ni 0.8570 0.8570 0.8570  1 Ge 2.36, 6 Ni 2.46-2.59
6 Ge 0.2449 0.2449 0.2449  4 Ni 2.36-2.40
7 Ge 0.7551 0.7551 0.7551  4 Ni 2.36-2.40

Values from the calculation:
Total magnetization: 0.00 μB/cell
Excess energy over the best structure of this formula in the dataset: 0.0000 eV/atom
Energy relative to the elements: -3.3 eV/f.u.
Symmetry: No. 166
Raw total energy: -40.63 eV per cell

# 8
Density functional theory data (PBE) for a relaxed structure of BaHfB3.

abc: 4.6382 4.6382 4.6382
angles: 90.00 90.00 90.00
Last column: nearest neighbours and their distance in Å.
Element x y z (fractional)
1 Ba 0.0000 0.0000 0.0000  12 B 3.28
2 Hf 0.5000 0.5000 0.5000  6 B 2.32
3 B 0.0000 0.5000 0.5000  2 Hf 2.32
4 B 0.5000 0.0000 0.5000  2 Hf 2.32
5 B 0.5000 0.5000 0.0000  2 Hf 2.32

Values from the calculation:
Total magnetization: 0.00 μB/cell
Excess energy over the best structure of this formula in the dataset: 0.0000 eV/atom
Energy relative to the elements: 4.5 eV/f.u.
Symmetry: No. 221
Raw total energy: -27.37 eV per cell